{"formula": "SrMg3Pd", "functional": "PBE", "state": "relaxed", "spacegroup": "P2_1/m (11)", "formation_energy_ev_per_atom": -0.3303, "m_tot_mub_per_cell": 0.00, "relative_energy_mev_per_atom": 0, "lattice_angstrom": [[5.892, 0.000, 0.000], [0.000, 6.205, 0.000], [-2.848, 0.000, 6.900]], "species": ["Sr", "Sr", "Mg", "Mg", "Mg", "Mg", "Mg", "Mg", "Pd", "Pd"], "frac_coords": [[0.071, 0.250, 0.373], [0.929, 0.750, 0.627], [0.044, 0.250, 0.877], [0.472, 0.505, 0.204], [0.472, 0.995, 0.204], [0.528, 0.005, 0.796], [0.528, 0.495, 0.796], [0.956, 0.750, 0.123], [0.352, 0.750, 0.465], [0.648, 0.250, 0.535]]}